Computed, not measured: crystalline YHg2Ru at its relaxed geometry at the GGA-PBE level of DFT.

abc: 4.9012 4.9012 4.9012
angles: 60.00 60.00 60.00
Last column: magnetic moment on the atom in μB.
Fractional positions:
Y 0.0000 0.0000 0.0000  0.02
Ru 0.5000 0.5000 0.5000  0.32
Hg 0.2500 0.2500 0.2500  0.01
Hg 0.7500 0.7500 0.7500  0.01

Computed properties:
Its calculated formation energy is 0.02 eV per atom. The total energy is -16.26 eV for the cell shown.